(1)
First-principles (PBE) data for a relaxed CsErSiSe4 crystal, as listed in Alexandria via LeMat-Bulk.

Summary:
Electronic total energy: -4.7731 eV per atom
Calculated volume: 31.19 A^3/atom

Geometry as POSCAR:
```
CsErSiSe4
1.0
-3.516 -4.838 -2.886
1.087 -4.143 5.621
-6.098 5.587 5.298
Er Si Se Cs
2 2 8 2
Cartesian
-3.854 0.926 3.649 Er
-4.673 -4.320 4.383 Er
-2.041 -2.264 5.390 Si
-6.486 -1.130 2.643 Si
-4.210 -2.016 5.993 Se
-3.731 1.743 6.469 Se
-1.813 -4.060 4.022 Se
-4.316 -1.379 2.040 Se
-6.714 0.666 4.011 Se
-3.193 -0.310 9.254 Se
-5.334 -3.084 -1.222 Se
-4.795 -5.137 1.564 Se
-7.545 -1.463 7.046 Cs
-0.982 -1.932 0.987 Cs
```

(2)
First-principles (PBE) data for a relaxed Cs2SmErSe4 crystal, as listed in Alexandria via LeMat-Bulk.

Summary:
Electronic total energy: -4.8374 eV per atom
Calculated volume: 33.48 A^3/atom

Geometry as POSCAR:
```
Cs2SmErSe4
1.0
4.295 0.000 0.000
0.000 7.439 0.125
0.000 -2.617 8.340
Cs Se Sm Er
2 4 1 1
Cartesian
2.147 -1.308 4.170 Cs
0.000 2.411 4.233 Cs
0.000 -0.158 6.809 Se
2.147 3.655 6.894 Se
2.147 1.168 1.571 Se
0.000 4.981 1.656 Se
2.147 3.720 0.063 Sm
0.000 0.000 0.000 Er
```

(3)
First-principles (PBE) data for a relaxed Cs3SmEr2Se6 crystal, as listed in Alexandria via LeMat-Bulk.

Summary:
Electronic total energy: -4.8299 eV per atom
Calculated volume: 33.13 A^3/atom

Geometry as POSCAR:
```
Cs3SmEr2Se6
1.0
7.403 -0.001 0.000
-3.701 6.412 0.000
-1.235 -2.138 8.376
Se Er Cs Sm
6 2 3 1
Cartesian
2.442 4.229 1.550 Se
2.520 0.000 1.556 Se
3.727 2.090 6.820 Se
0.026 0.044 6.826 Se
-1.260 2.182 1.556 Se
-0.052 4.273 6.820 Se
-0.001 4.275 0.000 Er
3.703 2.136 0.000 Er
1.234 2.136 4.188 Cs
-2.485 4.284 4.188 Cs
4.953 -0.011 4.188 Cs
0.000 0.000 0.000 Sm
```

(4)
First-principles (PBE) data for a relaxed Cs3Sm2ErSe6 crystal, as listed in Alexandria via LeMat-Bulk.

Summary:
Electronic total energy: -4.8471 eV per atom
Calculated volume: 33.79 A^3/atom

Geometry as POSCAR:
```
Cs3Sm2ErSe6
1.0
-0.780 0.578 -7.408
5.285 -4.436 2.865
-6.917 -5.119 1.585
Se Cs Sm Er
6 3 2 1
Cartesian
-3.125 -6.333 -3.906 Se
-1.266 -1.008 -2.404 Se
2.020 -3.800 -3.047 Se
-4.431 -5.177 0.089 Se
0.713 -2.644 0.948 Se
-1.145 -7.969 -0.554 Se
-1.206 -4.489 -1.479 Cs
0.806 -6.152 1.928 Cs
-3.217 -2.826 -4.886 Cs
3.263 -2.764 -0.561 Sm
1.243 -1.094 -3.982 Sm
0.000 0.000 0.000 Er
```

(5)
First-principles (PBE) data for a relaxed Cs3Er2SnSe6 crystal, as listed in Alexandria via LeMat-Bulk.

Summary:
Electronic total energy: -4.4154 eV per atom
Calculated volume: 32.87 A^3/atom

Geometry as POSCAR:
```
Cs3Er2SnSe6
1.0
-2.182 -2.108 6.737
4.481 -4.340 -3.961
5.868 5.947 2.414
Cs Se Er Sn
3 6 2 1
Cartesian
1.853 0.496 6.177 Cs
4.084 -0.251 2.595 Cs
6.314 -0.998 -0.986 Cs
5.427 3.073 2.739 Se
7.683 -0.488 2.302 Se
2.740 -3.574 2.452 Se
2.733 -0.766 -0.723 Se
5.434 0.265 5.913 Se
0.484 -0.013 2.889 Se
0.038 -2.852 3.174 Er
2.261 -3.597 -0.397 Er
0.000 0.000 0.000 Sn
```

(6)
First-principles (PBE) data for a relaxed Cs2ErSnSe4 crystal, as listed in Alexandria via LeMat-Bulk.

Summary:
Electronic total energy: -4.1289 eV per atom
Calculated volume: 43.67 A^3/atom

Geometry as POSCAR:
```
Cs2ErSnSe4
1.0
-2.300 -6.455 -1.071
0.371 -4.987 6.803
-13.220 0.510 2.862
Se Er Cs Sn
8 2 4 2
Cartesian
-1.793 -5.822 5.431 Se
-13.596 -9.392 7.020 Se
-9.704 -8.621 5.603 Se
-12.188 -1.831 3.707 Se
-2.722 -4.820 1.029 Se
-5.986 -6.246 5.402 Se
-5.428 -2.260 3.000 Se
-9.182 -4.738 3.184 Se
-8.150 -7.080 4.029 Er
0.000 0.000 0.000 Er
-12.514 -5.729 5.258 Cs
-8.856 -0.841 1.633 Cs
-6.664 -5.104 0.157 Cs
-3.786 -8.431 2.801 Cs
-1.150 -3.227 -0.536 Sn
-7.000 -3.852 4.565 Sn
```

(7)
First-principles (PBE) data for a relaxed Cs2ErSnSe5 crystal, as listed in Alexandria via LeMat-Bulk.

Summary:
Electronic total energy: -4.0984 eV per atom
Calculated volume: 38.72 A^3/atom

Geometry as POSCAR:
```
Cs2ErSnSe5
1.0
-0.159 -1.922 3.671
6.822 -6.569 -5.486
12.163 8.482 4.968
Se Cs Er Sn
10 4 2 2
Cartesian
4.500 -4.814 -2.326 Se
4.293 -2.669 1.131 Se
9.550 5.694 5.737 Se
8.478 0.727 3.090 Se
13.229 3.866 4.939 Se
11.953 0.861 0.968 Se
1.070 -0.572 -0.253 Se
12.362 -3.199 1.203 Se
10.224 -5.042 -2.197 Se
9.059 -1.461 -0.373 Se
14.789 0.563 3.277 Cs
10.183 3.857 2.460 Cs
7.187 -4.881 0.098 Cs
5.778 0.643 0.587 Cs
3.018 -2.774 -1.322 Er
10.384 -1.017 2.259 Er
12.008 5.889 5.946 Sn
11.007 -2.977 -1.082 Sn
```

(8)
First-principles (PBE) data for a relaxed CsErSnSe4 crystal, as listed in Alexandria via LeMat-Bulk.

Summary:
Electronic total energy: -4.4591 eV per atom
Calculated volume: 34.45 A^3/atom

Geometry as POSCAR:
```
CsErSnSe4
1.0
-3.487 -5.810 1.643
5.767 -2.378 3.828
-1.782 6.915 6.981
Se Cs Er Sn
8 2 2 2
Cartesian
-1.072 -0.731 4.659 Se
2.430 -3.121 4.894 Se
-3.894 -3.562 3.818 Se
-1.146 -4.696 5.642 Se
-1.933 1.848 7.558 Se
1.644 3.423 6.810 Se
1.569 -0.542 7.794 Se
4.392 2.289 8.635 Se
0.485 -1.668 1.732 Cs
0.013 0.395 10.720 Cs
-0.275 1.957 5.128 Er
0.773 -3.230 7.324 Er
-2.387 -0.502 6.783 Sn
2.885 -0.771 5.670 Sn
```